# 1
A relaxed structure of TbTiBr2. Source: the Alexandria database, functional PBE-GGA.

Calculated values
Its total energy is -54.31 eV/cell. The value obtained for the energy relative to the elements, uncorrected is -0.56 eV/atom. The calculation puts the magnetization at 3.0 μB per cell. Its crystal system is trigonal.

```
data_TbTiBr2
_cell_length_a 3.4711
_cell_length_b 3.4711
_cell_length_c 28.5337
_cell_angle_alpha 90.00
_cell_angle_beta 90.00
_cell_angle_gamma 120.00
_space_group_name_H-M_alt 'R -3 m'
_space_group_IT_number 166
_space_group_name_Hall '-R 3 2"'
loop_
_atom_site_label
_atom_site_type_symbol
_atom_site_fract_x
_atom_site_fract_y
_atom_site_fract_z
_atom_site_occupancy
Tb1 Tb 0.0000 0.0000 0.0000 1
Ti1 Ti 0.0000 0.0000 0.5000 1
Br1 Br 0.0000 0.0000 0.1048 1
```

=====

# 2
A relaxed structure of TbTlBr2. Source: the Alexandria database, functional PBE-GGA.

Calculated values
Its total energy is -44.12 eV/cell. The value obtained for the energy relative to the elements, uncorrected is -1.09 eV/atom. The calculation puts the magnetization at 0.0 μB per cell. Its crystal system is trigonal.

```
data_TbTlBr2
_cell_length_a 3.7177
_cell_length_b 3.7177
_cell_length_c 32.0191
_cell_angle_alpha 90.00
_cell_angle_beta 90.00
_cell_angle_gamma 120.00
_space_group_name_H-M_alt 'R -3 m'
_space_group_IT_number 166
_space_group_name_Hall '-R 3 2"'
loop_
_atom_site_label
_atom_site_type_symbol
_atom_site_fract_x
_atom_site_fract_y
_atom_site_fract_z
_atom_site_occupancy
Tb1 Tb 0.0000 0.0000 0.0000 1
Tl1 Tl 0.0000 0.0000 0.5000 1
Br1 Br 0.0000 0.0000 0.2719 1
```

=====

# 3
A relaxed structure of Tb2TlBr2. Source: the Alexandria database, functional PBE-GGA.

Calculated values
Its total energy is -61.96 eV/cell. The value obtained for the energy relative to the elements, uncorrected is -1.14 eV/atom. The calculation puts the magnetization at 0.0 μB per cell. Its crystal system is trigonal.

```
data_Tb2TlBr2
_cell_length_a 4.0353
_cell_length_b 4.0353
_cell_length_c 34.6043
_cell_angle_alpha 90.00
_cell_angle_beta 90.00
_cell_angle_gamma 120.00
_space_group_name_H-M_alt 'R -3 m'
_space_group_IT_number 166
_space_group_name_Hall '-R 3 2"'
loop_
_atom_site_label
_atom_site_type_symbol
_atom_site_fract_x
_atom_site_fract_y
_atom_site_fract_z
_atom_site_occupancy
Tb1 Tb 0.0000 0.0000 0.1069 1
Tl1 Tl 0.0000 0.0000 0.5000 1
Br1 Br 0.0000 0.0000 0.2781 1
```

=====

# 4
A relaxed structure of TbTl2Br5. Source: the Alexandria database, functional PBE-GGA.

Calculated values
Its total energy is -115.20 eV/cell. The value obtained for the energy relative to the elements, uncorrected is -1.38 eV/atom. The calculation puts the magnetization at 0.0 μB per cell. Its crystal system is orthorhombic.

```
data_TbTl2Br5
_cell_length_a 13.446
_cell_length_b 9.060
_cell_length_c 8.764
_cell_angle_alpha 90.00
_cell_angle_beta 90.00
_cell_angle_gamma 90.00
_space_group_name_H-M_alt 'P n m a'
_space_group_IT_number 62
_space_group_name_Hall '-P 2ac 2n'
loop_
_atom_site_label
_atom_site_type_symbol
_atom_site_fract_x
_atom_site_fract_y
_atom_site_fract_z
_atom_site_occupancy
Tb1 Tb 0.006 0.250 0.075 1
Tl1 Tl 0.170 0.008 0.581 1
Br1 Br 0.008 0.250 0.411 1
Br2 Br 0.064 0.548 0.168 1
Br3 Br 0.188 0.250 0.907 1
Br4 Br 0.201 0.750 0.855 1
```

=====

# 5
A relaxed structure of TbTl4Br7. Source: the Alexandria database, functional PBE-GGA.

Calculated values
Its total energy is -79.81 eV/cell. The value obtained for the energy relative to the elements, uncorrected is -1.17 eV/atom. The calculation puts the magnetization at 0.0 μB per cell. Its crystal system is monoclinic.

```
data_TbTl4Br7
_cell_length_a 22.366
_cell_length_b 5.531
_cell_length_c 7.950
_cell_angle_alpha 90.00
_cell_angle_beta 107.80
_cell_angle_gamma 90.00
_space_group_name_H-M_alt 'C 1 2/m 1'
_space_group_IT_number 12
_space_group_name_Hall '-C 2y'
loop_
_atom_site_label
_atom_site_type_symbol
_atom_site_fract_x
_atom_site_fract_y
_atom_site_fract_z
_atom_site_occupancy
Tb1 Tb 0.000 0.000 0.000 1
Tl1 Tl 0.085 0.500 0.637 1
Tl2 Tl 0.193 0.500 0.253 1
Br1 Br 0.000 0.500 0.000 1
Br2 Br 0.076 0.000 0.354 1
Br3 Br 0.110 0.000 0.899 1
Br4 Br 0.223 0.500 0.670 1
```

=====

# 6
A relaxed structure of TbTl3Br6. Source: the Alexandria database, functional PBE-GGA.

Calculated values
Its total energy is -69.27 eV/cell. The value obtained for the energy relative to the elements, uncorrected is -1.29 eV/atom. The calculation puts the magnetization at 0.0 μB per cell. Its crystal system is monoclinic.

```
data_TbTl3Br6
_cell_length_a 7.803
_cell_length_b 8.613
_cell_length_c 13.415
_cell_angle_alpha 90.00
_cell_angle_beta 122.22
_cell_angle_gamma 90.00
_space_group_name_H-M_alt 'P 1 21/c 1'
_space_group_IT_number 14
_space_group_name_Hall '-P 2ybc'
loop_
_atom_site_label
_atom_site_type_symbol
_atom_site_fract_x
_atom_site_fract_y
_atom_site_fract_z
_atom_site_occupancy
Tb1 Tb 0.000 0.000 0.000 1
Tl1 Tl 0.298 0.079 0.768 1
Tl2 Tl 0.500 0.000 0.500 1
Br1 Br 0.095 0.062 0.231 1
Br2 Br 0.238 0.726 0.079 1
Br3 Br 0.346 0.168 0.046 1
```

=====

# 7
A relaxed structure of TbTlBr. Source: the Alexandria database, functional PBE-GGA.

Calculated values
Its total energy is -21.76 eV/cell. The value obtained for the energy relative to the elements, uncorrected is -0.74 eV/atom. The calculation puts the magnetization at 0.9 μB per cell. Its crystal system is hexagonal.

```
data_TbTlBr
_cell_length_a 3.7949
_cell_length_b 3.7949
_cell_length_c 16.1037
_cell_angle_alpha 90.00
_cell_angle_beta 90.00
_cell_angle_gamma 120.00
_space_group_name_H-M_alt 'P -6 m 2'
_space_group_IT_number 187
_space_group_name_Hall 'P -6 2'
loop_
_atom_site_label
_atom_site_type_symbol
_atom_site_fract_x
_atom_site_fract_y
_atom_site_fract_z
_atom_site_occupancy
Tb1 Tb 0.0000 0.0000 0.0000 1
Tb2 Tb 0.3333 0.6667 0.5000 1
Tl1 Tl 0.3333 0.6667 0.1499 1
Br1 Br 0.0000 0.0000 0.3816 1
```

=====

# 8
A relaxed structure of TbTmBr2. Source: the Alexandria database, functional PBE-GGA.

Calculated values
Its total energy is -49.05 eV/cell. The value obtained for the energy relative to the elements, uncorrected is -0.98 eV/atom. The calculation puts the magnetization at 0.0 μB per cell. Its crystal system is trigonal.

```
data_TbTmBr2
_cell_length_a 3.6485
_cell_length_b 3.6485
_cell_length_c 29.8427
_cell_angle_alpha 90.00
_cell_angle_beta 90.00
_cell_angle_gamma 120.00
_space_group_name_H-M_alt 'R -3 m'
_space_group_IT_number 166
_space_group_name_Hall '-R 3 2"'
loop_
_atom_site_label
_atom_site_type_symbol
_atom_site_fract_x
_atom_site_fract_y
_atom_site_fract_z
_atom_site_occupancy
Tb1 Tb 0.0000 0.0000 0.0000 1
Tm1 Tm 0.0000 0.0000 0.5000 1
Br1 Br 0.0000 0.0000 0.4043 1
```

=====

Among the records above, which one has the highest energy relative to the elements, uncorrected? TbTiBr2

=====

Which value of magnetization does entry 1 give? 3.0 μB per cell

=====

Look up the energy relative to the elements, uncorrected of the fourth one. -1.38 eV/atom

=====

Number 5 is which compound? TbTl4Br7